(P)
First-principles (PBE) data for a geometry-optimized CoNiSeBr2 structure, as listed in the Alexandria database.

Cell: 4.8053 4.8053 4.8749 Å, 90.00 90.00 90.00°
Site moments in Bohr magnetons follow the coordinates.
Atoms (fractional coordinates):
Co 0.5000 0.5000 0.5000  2.28
Se 0.0000 0.0000 0.5000  0.13
Br 0.5000 0.0000 0.0000  0.07
Br 0.0000 0.5000 0.0000  0.07
Ni 0.0000 0.0000 0.0000  0.00

## Properties
SG	P4/mmm
calculated volume	112.56	Å³ per cell
ρ	5.258	g/cm³
crystal system	tetragonal
total magnetic moment	2.73	Bohr magnetons per cell

---

(Q)
First-principles (PBE) data for a geometry-optimized CoNiSeBr2 structure, as listed in the Alexandria database.

Cell: 5.0183 5.0183 4.4568 Å, 90.00 90.00 90.00°
Site moments in Bohr magnetons follow the coordinates.
Atoms (fractional coordinates):
Br 0.0000 0.5000 0.0000  0.03
Se 0.0000 0.0000 0.5000  0.05
Co 0.0000 0.0000 0.0000  -0.16
Ni 0.5000 0.5000 0.5000  0.94
Br 0.5000 0.0000 0.0000  0.03

## Properties
SG	P4/mmm
calculated volume	112.24	Å³ per cell
ρ	5.273	g/cm³
crystal system	tetragonal
total magnetic moment	0.93	Bohr magnetons per cell

---

The relative energies come out as (P) 14; (Q) 0, with values in meV per atom.